No. 1
An optimized crystal structure of Ba2LaSb. Source: Alexandria via LeMat-Bulk, functional PBE-GGA.

Output
formation energy from raw total energies = -0.372 eV/atom

Unit cell a=4.686 b=4.706 c=7.427 alpha=90.00 beta=90.00 gamma=90.00
Atoms (fractional coordinates):
Ba1 0.000 0.000 0.225
Ba2 0.000 0.000 0.775
La1 0.500 0.500 0.500
Sb1 0.500 0.500 0.000

---

No. 2
An optimized crystal structure of Ba2LaSb. Source: Alexandria via LeMat-Bulk, functional PBE-GGA.

Output
formation energy from raw total energies = -0.483 eV/atom

Unit cell a=10.184 b=10.184 c=10.184 alpha=155.27 beta=152.96 gamma=36.97
Atoms (fractional coordinates):
Ba1 0.162 0.162 0.000
Ba2 0.838 0.838 0.000
La1 0.500 0.000 0.500
Sb1 0.000 0.500 0.500

---

No. 3
An optimized crystal structure of BaLaSb3. Source: Alexandria via LeMat-Bulk, functional PBE-GGA.

Output
formation energy from raw total energies = 0.373 eV/atom
distance to the lowest polymorph of the same formula = 66.2 kJ/mol of atoms

Unit cell a=5.961 b=5.961 c=5.961 alpha=90.00 beta=90.00 gamma=90.00
Atoms (fractional coordinates):
Ba1 0.000 0.000 0.000
La1 0.500 0.500 0.500
Sb1 0.000 0.000 0.500
Sb2 0.000 0.500 0.000
Sb3 0.500 0.000 0.000

---

No. 4
An optimized crystal structure of BaLa2Sb2. Source: Alexandria via LeMat-Bulk, functional PBE-GGA.

Output
formation energy from raw total energies = -0.749 eV/atom
distance to the lowest polymorph of the same formula = 21.8 kJ/mol of atoms

Unit cell a=7.212 b=7.212 c=7.212 alpha=130.27 beta=130.27 gamma=72.97
Atoms (fractional coordinates):
Ba1 0.000 0.000 0.000
La1 0.325 0.325 0.000
La2 0.675 0.675 0.000
Sb1 0.250 0.750 0.500
Sb2 0.750 0.250 0.500

---

No. 5
An optimized crystal structure of Ba5LaSb4. Source: Alexandria via LeMat-Bulk, functional PBE-GGA.

Output
formation energy from raw total energies = -0.926 eV/atom

Unit cell a=11.413 b=11.413 c=9.231 alpha=113.80 beta=113.80 gamma=25.64
Atoms (fractional coordinates):
Ba1 0.000 0.000 0.000
Ba2 0.334 0.334 0.087
Ba3 0.334 0.334 0.580
Ba4 0.666 0.666 0.420
Ba5 0.666 0.666 0.913
La1 0.000 0.000 0.500
Sb1 0.189 0.189 0.689
Sb2 0.500 0.500 0.265
Sb3 0.500 0.500 0.735
Sb4 0.811 0.811 0.311

---

No. 6
An optimized crystal structure of Ba2LaSb. Source: Alexandria via LeMat-Bulk, functional PBE-GGA.

Output
formation energy from raw total energies = -0.222 eV/atom

Unit cell a=5.981 b=5.981 c=5.981 alpha=60.00 beta=60.00 gamma=60.00
Atoms (fractional coordinates):
Ba1 0.000 0.000 0.000
Ba2 0.250 0.250 0.250
La1 0.750 0.750 0.750
Sb1 0.500 0.500 0.500

---

No. 7
An optimized crystal structure of BaLaSb2. Source: Alexandria via LeMat-Bulk, functional PBE-GGA.

Output
formation energy from raw total energies = -0.090 eV/atom
distance to the lowest polymorph of the same formula = 88.3 kJ/mol of atoms

Unit cell a=10.777 b=10.777 c=10.777 alpha=21.81 beta=21.81 gamma=21.81
Atoms (fractional coordinates):
Ba1 0.000 0.000 0.000
La1 0.775 0.775 0.775
Sb1 0.245 0.245 0.245
Sb2 0.518 0.518 0.518

---

No. 8
An optimized crystal structure of BaLaSb. Source: Alexandria via LeMat-Bulk, functional PBE-GGA.

Output
formation energy from raw total energies = -0.641 eV/atom

Unit cell a=5.578 b=5.578 c=5.578 alpha=60.00 beta=60.00 gamma=60.00
Atoms (fractional coordinates):
Ba1 0.000 0.000 0.000
La1 0.500 0.500 0.500
Sb1 0.250 0.250 0.250

---

No. 9
An optimized crystal structure of BaLa3Sb. Source: Alexandria via LeMat-Bulk, functional PBE-GGA.

Output
formation energy from raw total energies = -0.162 eV/atom
distance to the lowest polymorph of the same formula = 0.0 kJ/mol of atoms

Unit cell a=6.195 b=6.195 c=6.195 alpha=90.00 beta=90.00 gamma=90.00
Atoms (fractional coordinates):
Ba1 0.000 0.000 0.000
La1 0.000 0.500 0.500
La2 0.500 0.000 0.500
La3 0.500 0.500 0.000
Sb1 0.500 0.500 0.500

---

No. 10
An optimized crystal structure of BaLa4Sb. Source: Alexandria via LeMat-Bulk, functional PBE-GGA.

Output
formation energy from raw total energies = 0.081 eV/atom

Unit cell a=6.761 b=6.761 c=6.761 alpha=60.00 beta=60.00 gamma=60.00
Atoms (fractional coordinates):
Ba1 0.000 0.000 0.000
La1 0.127 0.624 0.624
La2 0.624 0.127 0.624
La3 0.624 0.624 0.127
La4 0.624 0.624 0.624
Sb1 0.250 0.250 0.250

---

No. 11
An optimized crystal structure of BaLaSb2. Source: Alexandria via LeMat-Bulk, functional PBE-GGA.

Output
formation energy from raw total energies = -0.955 eV/atom
distance to the lowest polymorph of the same formula = 4.8 kJ/mol of atoms

Unit cell a=8.848 b=8.848 c=8.848 alpha=30.61 beta=30.61 gamma=30.61
Atoms (fractional coordinates):
Ba1 0.000 0.000 0.000
La1 0.172 0.172 0.172
Sb1 0.577 0.577 0.577
Sb2 0.762 0.762 0.762

---

No. 12
An optimized crystal structure of Ba2LaSb2. Source: Alexandria via LeMat-Bulk, functional PBE-GGA.

Output
formation energy from raw total energies = -0.947 eV/atom

Unit cell a=9.034 b=9.034 c=4.856 alpha=90.00 beta=90.00 gamma=90.00
Atoms (fractional coordinates):
Ba1 0.140 0.360 0.000
Ba2 0.360 0.860 0.000
Ba3 0.640 0.140 0.000
Ba4 0.860 0.640 0.000
La1 0.000 0.000 0.500
La2 0.500 0.500 0.500
Sb1 0.167 0.667 0.500
Sb2 0.333 0.167 0.500
Sb3 0.667 0.833 0.500
Sb4 0.833 0.333 0.500

---

No. 13
An optimized crystal structure of BaLaSb. Source: Alexandria via LeMat-Bulk, functional PBE-GGA.

Output
formation energy from raw total energies = -0.787 eV/atom

Unit cell a=8.403 b=8.403 c=5.436 alpha=90.00 beta=90.00 gamma=120.00
Atoms (fractional coordinates):
Ba1 0.000 0.571 0.000
Ba2 0.429 0.429 0.000
Ba3 0.571 0.000 0.000
La1 0.000 0.215 0.500
La2 0.215 0.000 0.500
La3 0.785 0.785 0.500
Sb1 0.000 0.000 0.000
Sb2 0.333 0.667 0.500
Sb3 0.667 0.333 0.500

---

No. 14
An optimized crystal structure of Ba2LaSb. Source: Alexandria via LeMat-Bulk, functional PBE-GGA.

Output
formation energy from raw total energies = -0.452 eV/atom

Unit cell a=7.614 b=7.614 c=7.614 alpha=145.96 beta=133.49 gamma=58.88
Atoms (fractional coordinates):
Ba1 0.000 0.000 0.000
Ba2 0.696 0.196 0.500
La1 0.389 0.389 0.000
Sb1 0.216 0.716 0.500

---

Calculated uncorrected energy (eV per cell), listed in the same order as above: -14.39 -14.83 -17.35 -23.77 -40.29 -13.78 -15.45 -12.89 -21.64 -25.27 -18.92 -43.50 -40.00 -14.70